Y4HoZn5 after structural relaxation, computed with PBE.

```
Y4HoZn5
1.0
3.5756 0.0000 0.0000
0.0000 3.5756 0.0000
0.0000 0.0000 17.8798
Y Ho Zn
4 1 5
Direct
0.0000 0.0000 0.1004
0.0000 0.0000 0.3011
0.0000 0.0000 0.6989
0.0000 0.0000 0.8996
0.0000 0.0000 0.5000
0.5000 0.5000 0.0000
0.5000 0.5000 0.2006
0.5000 0.5000 0.4020
0.5000 0.5000 0.5980
0.5000 0.5000 0.7994
```

Properties
**DFT total energy**: -4.04 eV/atom
**Formation energy**: -0.356 eV per atom
**ρ**: 6.157 Mg/m³